Here is crystalline Rb2NaZr at its relaxed geometry from the Alexandria database. Energies are from GGA-PBE.

Results
Crystal system ... cubic
ΔH_f (0 K) ... 4.12 eV per formula unit
Energy ... -30.72 eV per cell
E above lowest polymorph ... 0 meV/atom
Total magnetic moment ... 3.4 μB/f.u.

Cell: 9.3266 9.3266 9.3266 Å, 90.00 90.00 90.00°
Closest atoms and distances in Å follow each position.
Space group Fm-3m (No. 225)
One atom of each set of equivalent atoms:
Rb 0.2500 0.2500 0.2500  4 Zr 4.04, 4 Na 4.04
Na 0.0000 0.0000 0.0000  8 Rb 4.04
Zr 0.0000 0.0000 0.5000  8 Rb 4.04